Below is a relaxed CsTePI2 crystal, with properties calculated at the PBE level.

Cell and atoms, written as POSCAR:
```
CsTePI2
1.0
5.8818 0.0000 0.0000
0.0000 5.8818 0.0000
0.0000 0.0000 5.3905
Cs Te P I
1 1 1 2
Direct
0.0000 0.0000 0.0000
0.5000 0.5000 0.0000
0.5000 0.5000 0.5000
0.0000 0.5000 0.5000
0.5000 0.0000 0.5000
```

Results
Fermi-level density of states (states/eV/f.u.): 2.68
ΔE_f (raw) (eV per atom): -0.34
Energy (eV/atom): -2.8409
Total moment (μB per cell): 0.0
Distance to the lowest polymorph of the same formula (eV/atom): 0.000